No. 1
Ba5Co5Sn | GGA-PBE | relaxed

Cell lengths 5.8037, 5.8037, 10.6407 Å; angles 90.00, 90.00, 120.00 degrees
Last column: nearest neighbours and their distance in Å.
Space group P-6m2 (No. 187)
Asymmetric unit:
Ba 0.0000 0.0000 0.0000 [1 per cell]  3 Sn 3.35
Ba 0.3333 0.6667 0.2063 [2 per cell]  3 Co 3.42, 3 Ba 3.63
Ba 0.6667 0.3333 0.3375 [2 per cell]  9 Co 3.38-3.39, 4 Ba 3.46-3.63, 1 Sn 3.59
Co 0.0000 0.0000 0.3822 [2 per cell]  4 Co 2.33-2.51
Co 0.1954 0.3909 0.5000 [3 per cell]  4 Co 2.33-2.40
Sn 0.6667 0.3333 0.0000 [1 per cell]  5 Ba 3.35-3.59

total magnetic moment: 6.17 μB per formula unit
E_tot: -4.367 eV per atom


No. 2
BaCoSn2 | GGA-PBE | relaxed

Cell lengths 7.4342, 7.4342, 7.4342 Å; angles 90.00, 90.00, 90.00 degrees
Last column: nearest neighbours and their distance in Å.
Space group F-43m (No. 216)
Asymmetric unit:
Ba 0.0000 0.0000 0.0000 [4 per cell]  4 Sn 3.22, 4 Co 3.22
Co 0.2500 0.2500 0.2500 [4 per cell]  4 Sn 3.22, 4 Ba 3.22
Sn 0.0000 0.0000 0.5000 [4 per cell]  4 Sn 3.22, 4 Co 3.22
Sn 0.2500 0.2500 0.7500 [4 per cell]  4 Ba 3.22, 4 Sn 3.22

total magnetic moment: 1.30 μB per formula unit
E_tot: -3.977 eV per atom


Q: Which of these has the highest total magnetic moment?
A: Ba5Co5Sn


Q: E_tot of number 1 (Ba5Co5Sn)?
A: -4.367 eV per atom


Q: Number 2 is which compound?
A: BaCoSn2